<w>
Material: CsTeN2F
Method: DFT, GGA-PBE
State: optimized geometry

a b c (Å): 4.104 4.104 5.311
angles (deg): 90.00 90.00 90.00
Element x y z (fractional)
Cs 0.000 0.000 0.000
Te 0.500 0.500 0.500
N 0.000 0.500 0.500
N 0.500 0.000 0.500
F 0.500 0.500 0.000

Fermi-level density of states	0.196	states/eV per atom
SG	No. 123
calculated volume	89.4	Å³/cell
crystal system	tetragonal


<x>
Material: CsTeN2F
Method: DFT, GGA-PBE
State: optimized geometry

a b c (Å): 4.499 4.499 4.877
angles (deg): 90.00 90.00 90.00
Element x y z (fractional)
Cs 0.000 0.000 0.000
Te 0.500 0.500 0.500
N 0.000 0.500 0.000
N 0.500 0.000 0.000
F 0.000 0.000 0.500

Fermi-level density of states	0.804	states/eV per atom
SG	No. 123
calculated volume	98.7	Å³/cell
crystal system	tetragonal


<y>
Material: CsTeN2F
Method: DFT, GGA-PBE
State: optimized geometry

a b c (Å): 4.408 4.408 7.814
angles (deg): 90.00 90.00 90.00
Element x y z (fractional)
Cs 0.000 0.000 0.000
Te 0.000 0.000 0.500
N 0.000 0.500 0.000
N 0.500 0.000 0.000
F 0.500 0.500 0.500

Fermi-level density of states	1.044	states/eV per atom
SG	No. 123
calculated volume	151.8	Å³/cell
crystal system	tetragonal


Unit: meV/atom. Relative energies: <w> 0; <x> 1682; <y> 2000.


<w>
Material: CsTe2NF
Method: DFT, GGA-PBE
State: optimized geometry

a b c (Å): 7.173 7.173 4.976
angles (deg): 90.00 90.00 90.00
Element x y z (fractional)
Cs 0.000 0.000 0.000
Te 0.000 0.500 0.000
Te 0.500 0.000 0.000
N 0.000 0.000 0.500
F 0.500 0.500 0.500

Fermi-level density of states	1.842	states/eV per atom
SG	No. 123
calculated volume	256.0	Å³/cell
crystal system	tetragonal


<x>
Material: CsTe2NF
Method: DFT, GGA-PBE
State: optimized geometry

a b c (Å): 4.743 4.743 5.794
angles (deg): 90.00 90.00 90.00
Element x y z (fractional)
Cs 0.000 0.000 0.000
Te 0.000 0.500 0.500
Te 0.500 0.000 0.500
N 0.500 0.500 0.000
F 0.500 0.500 0.500

Fermi-level density of states	0.442	states/eV per atom
SG	No. 123
calculated volume	130.3	Å³/cell
crystal system	tetragonal


Unit: meV/atom. Relative energies: <w> 1028; <x> 0.


<w>
Material: CsTlN2F
Method: DFT, GGA-PBE
State: optimized geometry

a b c (Å): 5.031 5.031 5.402
angles (deg): 90.00 90.00 90.00
Element x y z (fractional)
Cs 0.000 0.000 0.000
Tl 0.500 0.500 0.500
N 0.000 0.500 0.000
N 0.500 0.000 0.000
F 0.000 0.000 0.500

Fermi-level density of states	0.312	states/eV per atom
SG	No. 123
calculated volume	136.7	Å³/cell
crystal system	tetragonal


<x>
Material: CsTlN2F
Method: DFT, GGA-PBE
State: optimized geometry

a b c (Å): 4.517 4.517 5.063
angles (deg): 90.00 90.00 90.00
Element x y z (fractional)
Cs 0.000 0.000 0.000
Tl 0.500 0.500 0.500
N 0.000 0.500 0.500
N 0.500 0.000 0.500
F 0.500 0.500 0.000

Fermi-level density of states	0.420	states/eV per atom
SG	No. 123
calculated volume	103.3	Å³/cell
crystal system	tetragonal


Unit: meV/atom. Relative energies: <w> 763; <x> 0.


<w>
Material: Cs4NaF5
Method: DFT, GGA-PBE
State: optimized geometry

a b c (Å): 7.161 7.161 7.161
angles (deg): 100.24 100.24 130.13
Element x y z (fractional)
Cs 0.102 0.704 0.805
Cs 0.296 0.102 0.398
Cs 0.704 0.898 0.602
Cs 0.898 0.296 0.195
Na 0.457 0.457 0.000
F 0.079 0.079 0.000
F 0.247 0.420 0.657
F 0.420 0.764 0.174
F 0.590 0.247 0.826
F 0.764 0.590 0.343

Fermi-level density of states	0.000	states/eV per atom
SG	No. 79
calculated volume	254.5	Å³/cell
crystal system	tetragonal


<x>
Material: Cs4NaF5
Method: DFT, GGA-PBE
State: optimized geometry

a b c (Å): 17.175 17.175 17.175
angles (deg): 13.77 13.77 13.77
Element x y z (fractional)
Cs 0.108 0.108 0.108
Cs 0.297 0.297 0.297
Cs 0.703 0.703 0.703
Cs 0.892 0.892 0.892
Na 0.500 0.500 0.500
F 0.000 0.000 0.000
F 0.190 0.190 0.190
F 0.405 0.405 0.405
F 0.595 0.595 0.595
F 0.810 0.810 0.810

Fermi-level density of states	0.000	states/eV per atom
SG	No. 166
calculated volume	249.8	Å³/cell
crystal system	trigonal


Unit: meV/atom. Relative energies: <w> 0; <x> 15.


<w>
Material: CsNaF
Method: DFT, GGA-PBE
State: optimized geometry

a b c (Å): 3.930 3.930 16.417
angles (deg): 90.00 90.00 90.00
Element x y z (fractional)
Cs 0.000 0.000 0.000
Cs 0.500 0.500 0.500
Na 0.000 0.000 0.248
Na 0.500 0.500 0.748
F 0.000 0.000 0.543
F 0.500 0.500 0.043

Fermi-level density of states	0.195	states/eV per atom
SG	No. 107
calculated volume	253.6	Å³/cell
crystal system	tetragonal


<x>
Material: CsNaF
Method: DFT, GGA-PBE
State: optimized geometry

a b c (Å): 16.063 3.858 7.903
angles (deg): 90.00 96.57 90.00
Element x y z (fractional)
Cs 0.105 0.000 0.284
Cs 0.395 0.500 0.716
Cs 0.605 0.500 0.284
Cs 0.895 0.000 0.716
Na 0.192 0.500 0.861
Na 0.308 0.000 0.139
Na 0.692 0.000 0.861
Na 0.808 0.500 0.139
F 0.221 0.500 0.151
F 0.279 0.000 0.849
F 0.721 0.000 0.151
F 0.779 0.500 0.849

Fermi-level density of states	0.491	states/eV per atom
SG	No. 12
calculated volume	486.6	Å³/cell
crystal system	monoclinic


<y>
Material: CsNaF
Method: DFT, GGA-PBE
State: optimized geometry

a b c (Å): 15.565 4.207 7.377
angles (deg): 90.00 105.41 90.00
Element x y z (fractional)
Cs 0.000 0.000 0.000
Cs 0.153 0.000 0.649
Cs 0.500 0.500 0.000
Cs 0.653 0.500 0.649
Na 0.292 0.500 0.229
Na 0.439 0.000 0.478
Na 0.792 0.000 0.229
Na 0.939 0.500 0.478
F 0.041 0.500 0.751
F 0.450 0.500 0.363
F 0.541 0.000 0.751
F 0.950 0.000 0.363

Fermi-level density of states	0.341	states/eV per atom
SG	No. 8
calculated volume	465.7	Å³/cell
crystal system	monoclinic


Unit: meV/atom. Relative energies: <w> 167; <x> 40; <y> 0.


<w>
Material: CsNaF
Method: DFT, GGA-PBE
State: optimized geometry

a b c (Å): 3.625 4.192 7.132
angles (deg): 90.00 104.19 90.00
Element x y z (fractional)
Cs 0.000 0.000 0.000
Na 0.799 0.500 0.575
F 0.412 0.500 0.814

Fermi-level density of states	0.296	states/eV per atom
SG	No. 6
calculated volume	105.0	Å³/cell
crystal system	monoclinic


<x>
Material: CsNaF
Method: DFT, GGA-PBE
State: optimized geometry

a b c (Å): 4.098 4.098 7.227
angles (deg): 90.00 90.00 120.00
Element x y z (fractional)
Cs 0.000 0.000 0.000
Na 0.333 0.667 0.441
F 0.667 0.333 0.228

Fermi-level density of states	0.266	states/eV per atom
SG	No. 156
calculated volume	105.1	Å³/cell
crystal system	trigonal


<y>
Material: CsNaF
Method: DFT, GGA-PBE
State: optimized geometry

a b c (Å): 4.020 4.020 7.155
angles (deg): 90.00 90.00 90.00
Element x y z (fractional)
Cs 0.000 0.000 0.000
Na 0.500 0.500 0.434
F 0.500 0.500 0.125

Fermi-level density of states	0.377	states/eV per atom
SG	No. 99
calculated volume	115.6	Å³/cell
crystal system	tetragonal


<z>
Material: CsNaF
Method: DFT, GGA-PBE
State: optimized geometry

a b c (Å): 6.207 6.814 7.342
angles (deg): 112.70 91.00 114.25
Element x y z (fractional)
Cs 0.000 0.000 0.000
Cs 0.315 0.404 0.649
Na 0.598 0.895 0.411
Na 0.893 0.544 0.366
F 0.734 0.746 0.587
F 0.869 0.214 0.381

Fermi-level density of states	0.275	states/eV per atom
SG	No. 1
calculated volume	255.4	Å³/cell
crystal system	triclinic


Unit: meV/atom. Relative energies: <w> 55; <x> 114; <y> 0; <z> 22.


<w>
Material: Cs2NaF2
Method: DFT, GGA-PBE
State: optimized geometry

a b c (Å): 9.024 9.024 3.680
angles (deg): 90.00 90.00 90.00
Element x y z (fractional)
Cs 0.142 0.358 0.000
Cs 0.358 0.858 0.000
Cs 0.642 0.142 0.000
Cs 0.858 0.642 0.000
Na 0.000 0.000 0.000
Na 0.500 0.500 0.000
F 0.139 0.639 0.500
F 0.361 0.139 0.500
F 0.639 0.861 0.500
F 0.861 0.361 0.500

Fermi-level density of states	0.197	states/eV per atom
SG	No. 127
calculated volume	299.6	Å³/cell
crystal system	tetragonal


<x>
Material: Cs2NaF2
Method: DFT, GGA-PBE
State: optimized geometry

a b c (Å): 9.808 10.555 7.584
angles (deg): 90.00 99.86 90.00
Element x y z (fractional)
Cs 0.050 0.170 0.086
Cs 0.050 0.330 0.586
Cs 0.449 0.175 0.784
Cs 0.449 0.325 0.284
Cs 0.551 0.675 0.716
Cs 0.551 0.825 0.216
Cs 0.950 0.670 0.414
Cs 0.950 0.830 0.914
Na 0.162 0.510 0.009
Na 0.162 0.990 0.509
Na 0.838 0.010 0.491
Na 0.838 0.490 0.991
F 0.022 0.055 0.700
F 0.022 0.445 0.200
F 0.259 0.173 0.447
F 0.259 0.327 0.947
F 0.741 0.673 0.053
F 0.741 0.827 0.553
F 0.978 0.555 0.800
F 0.978 0.945 0.300

Fermi-level density of states	0.269	states/eV per atom
SG	No. 14
calculated volume	773.5	Å³/cell
crystal system	monoclinic


Unit: meV/atom. Relative energies: <w> 273; <x> 0.


<w>
Material: Cs2Na2F5
Method: DFT, GGA-PBE
State: optimized geometry

a b c (Å): 6.806 6.806 6.987
angles (deg): 108.94 108.94 39.66
Element x y z (fractional)
Cs 0.099 0.099 0.311
Cs 0.901 0.901 0.689
Na 0.347 0.347 0.103
Na 0.653 0.653 0.897
F 0.159 0.159 0.920
F 0.350 0.350 0.424
F 0.500 0.500 0.000
F 0.650 0.650 0.576
F 0.841 0.841 0.080

Fermi-level density of states	1.664	states/eV per atom
SG	No. 12
calculated volume	193.9	Å³/cell
crystal system	monoclinic


<x>
Material: Cs2Na2F5
Method: DFT, GGA-PBE
State: optimized geometry

a b c (Å): 6.618 6.618 7.524
angles (deg): 98.19 98.19 35.05
Element x y z (fractional)
Cs 0.100 0.100 0.290
Cs 0.900 0.900 0.710
Na 0.345 0.345 0.112
Na 0.655 0.655 0.888
F 0.235 0.235 0.837
F 0.428 0.428 0.416
F 0.500 0.500 0.000
F 0.572 0.572 0.584
F 0.765 0.765 0.163

SG	No. 12
calculated volume	187.1	Å³/cell
crystal system	monoclinic


Unit: meV/atom. Relative energies: <w> 7; <x> 0.


<w>
Material: Cs2NaF3
Method: DFT, GGA-PBE
State: optimized geometry

a b c (Å): 7.204 7.204 13.949
angles (deg): 90.00 90.00 126.39
Element x y z (fractional)
Cs 0.031 0.969 0.847
Cs 0.142 0.858 0.429
Cs 0.358 0.642 0.929
Cs 0.469 0.531 0.347
Cs 0.531 0.469 0.653
Cs 0.642 0.358 0.071
Cs 0.858 0.142 0.571
Cs 0.969 0.031 0.153
Na 0.245 0.755 0.166
Na 0.255 0.745 0.666
Na 0.745 0.255 0.334
Na 0.755 0.245 0.834
F 0.075 0.425 0.750
F 0.084 0.916 0.641
F 0.153 0.847 0.029
F 0.347 0.653 0.529
F 0.416 0.584 0.141
F 0.425 0.075 0.250
F 0.575 0.925 0.750
F 0.584 0.416 0.859
F 0.653 0.347 0.471
F 0.847 0.153 0.971
F 0.916 0.084 0.359
F 0.925 0.575 0.250

Fermi-level density of states	0.000	states/eV per atom
SG	No. 64
calculated volume	582.7	Å³/cell
crystal system	orthorhombic


<x>
Material: Cs2NaF3
Method: DFT, GGA-PBE
State: optimized geometry

a b c (Å): 10.506 10.506 7.050
angles (deg): 90.00 90.00 159.08
Element x y z (fractional)
Cs 0.012 0.988 0.750
Cs 0.172 0.828 0.250
Cs 0.828 0.172 0.750
Cs 0.988 0.012 0.250
Na 0.343 0.657 0.250
Na 0.657 0.343 0.750
F 0.214 0.786 0.750
F 0.412 0.588 0.003
F 0.412 0.588 0.497
F 0.588 0.412 0.503
F 0.588 0.412 0.997
F 0.786 0.214 0.250

Fermi-level density of states	0.000	states/eV per atom
SG	No. 63
calculated volume	277.8	Å³/cell
crystal system	orthorhombic


Unit: meV/atom. Relative energies: <w> 0; <x> 36.


<w>
Material: CsNaOF2
Method: DFT, GGA-PBE
State: optimized geometry

a b c (Å): 5.202 5.202 4.368
angles (deg): 90.00 90.00 90.00
Element x y z (fractional)
Cs 0.000 0.000 0.000
Na 0.500 0.500 0.500
O 0.000 0.000 0.500
F 0.000 0.500 0.000
F 0.500 0.000 0.000

Fermi-level density of states	0.605	states/eV per atom
SG	No. 123
calculated volume	118.2	Å³/cell
crystal system	tetragonal


<x>
Material: CsNaOF2
Method: DFT, GGA-PBE
State: optimized geometry

a b c (Å): 4.622 4.622 4.565
angles (deg): 90.00 90.00 90.00
Element x y z (fractional)
Cs 0.000 0.000 0.000
Na 0.500 0.500 0.500
O 0.500 0.500 0.000
F 0.000 0.500 0.500
F 0.500 0.000 0.500

Fermi-level density of states	0.582	states/eV per atom
SG	No. 123
calculated volume	97.5	Å³/cell
crystal system	tetragonal


Unit: meV/atom. Relative energies: <w> 395; <x> 0.